Computed, not measured: crystalline Cs3AuCl at its relaxed geometry at the PBE level of DFT.

Output
The energy above the most stable polymorph in this dataset comes out at 0.68 eV per formula unit.

Unit cell a=6.6379 b=6.6379 c=6.6379 alpha=90.00 beta=90.00 gamma=90.00
Closest atoms and distances in Å follow each position.
Sites, in units of the cell vectors:
Cs  0.0000  0.0000  0.5000  2 Cl 3.32
Cs  0.0000  0.5000  0.0000  2 Cl 3.32
Cs  0.5000  0.0000  0.0000  2 Cl 3.32
Au  0.5000  0.5000  0.5000  12 Cs 4.69
Cl  0.0000  0.0000  0.0000  6 Cs 3.32

***

Computed, not measured: crystalline CsAuCl2 at its relaxed geometry at the PBE level of DFT.

Unit cell a=7.6989 b=7.6989 c=7.6989 alpha=90.00 beta=90.00 gamma=90.00
Closest atoms and distances in Å follow each position.
Sites, in units of the cell vectors:
Cs  0.0000  0.0000  0.0000  8 Cl 3.33
Cs  0.0000  0.5000  0.5000  8 Cl 3.33
Cs  0.5000  0.0000  0.5000  8 Cl 3.33
Cs  0.5000  0.5000  0.0000  8 Cl 3.33
Au  0.0000  0.0000  0.5000  8 Cl 3.33
Au  0.0000  0.5000  0.0000  8 Cl 3.33
Au  0.5000  0.0000  0.0000  8 Cl 3.33
Au  0.5000  0.5000  0.5000  8 Cl 3.33
Cl  0.2500  0.2500  0.2500  4 Cs 3.33, 4 Au 3.33
Cl  0.2500  0.2500  0.7500  4 Cs 3.33, 4 Au 3.33
Cl  0.2500  0.7500  0.2500  4 Cs 3.33, 4 Au 3.33
Cl  0.2500  0.7500  0.7500  4 Cs 3.33, 4 Au 3.33
Cl  0.7500  0.2500  0.2500  4 Cs 3.33, 4 Au 3.33
Cl  0.7500  0.2500  0.7500  4 Cs 3.33, 4 Au 3.33
Cl  0.7500  0.7500  0.2500  4 Cs 3.33, 4 Au 3.33
Cl  0.7500  0.7500  0.7500  4 Cs 3.33, 4 Au 3.33

***

Computed, not measured: crystalline CsAuCl6 at its relaxed geometry at the PBE level of DFT.

Unit cell a=11.7802 b=7.5357 c=7.5668 alpha=90.00 beta=126.25 gamma=90.00
Closest atoms and distances in Å follow each position.
Sites, in units of the cell vectors:
Cs  0.0000  0.0000  0.0000  10 Cl 3.78-4.06
Cs  0.5000  0.5000  0.0000  10 Cl 3.78-4.06
Au  0.0000  0.5000  0.5000  6 Cl 2.37-2.38
Au  0.5000  0.0000  0.5000  6 Cl 2.37-2.38
Cl  0.1437  0.5000  0.3769  1 Au 2.37
Cl  0.1469  0.2785  0.7630  1 Au 2.38
Cl  0.1469  0.7215  0.7630  1 Au 2.38
Cl  0.3531  0.2215  0.2370  1 Au 2.38
Cl  0.3531  0.7785  0.2370  1 Au 2.38
Cl  0.3563  0.0000  0.6231  1 Au 2.37
Cl  0.6437  0.0000  0.3769  1 Au 2.37
Cl  0.6469  0.2215  0.7630  1 Au 2.38
Cl  0.6469  0.7785  0.7630  1 Au 2.38
Cl  0.8531  0.2785  0.2370  1 Au 2.38
Cl  0.8531  0.7215  0.2370  1 Au 2.38
Cl  0.8563  0.5000  0.6231  1 Au 2.37

***

Computed, not measured: crystalline Cs6Au2Cl3 at its relaxed geometry at the PBE level of DFT.

Unit cell a=25.7491 b=25.7491 c=25.7491 alpha=11.35 beta=11.35 gamma=11.35
Closest atoms and distances in Å follow each position.
Sites, in units of the cell vectors:
Cs  0.0783  0.0783  0.0783  3 Cl 3.56, 3 Au 3.72
Cs  0.1981  0.1981  0.1981  3 Au 3.61
Cs  0.3595  0.3595  0.3595  6 Cl 3.56
Cs  0.6405  0.6405  0.6405  6 Cl 3.56
Cs  0.8019  0.8019  0.8019  3 Au 3.61
Cs  0.9217  0.9217  0.9217  3 Cl 3.56, 3 Au 3.72
Au  0.4413  0.4413  0.4413  6 Cs 3.61-3.72
Au  0.5587  0.5587  0.5587  6 Cs 3.61-3.72
Cl  0.0000  0.0000  0.0000  6 Cs 3.56
Cl  0.2811  0.2811  0.2811  6 Cs 3.56
Cl  0.7189  0.7189  0.7189  6 Cs 3.56

***

Sequential ΔE_f (raw) output: -0.754, -0.592, -0.595, -1.188 eV/atom